[1]
Entry from the Alexandria database: a relaxed structure of TaAsSe2Cl (PBE).

CIF file:
```
data_TaAsSe2Cl
_chemical_formula_sum 'Ta1 As1 Se2 Cl1'
_cell_length_a 4.828
_cell_length_b 4.828
_cell_length_c 4.665
_cell_angle_alpha 90.00
_cell_angle_beta 90.00
_cell_angle_gamma 90.00
_space_group_name_H-M_alt 'P 4/m m m'
_space_group_IT_number 123
_space_group_name_Hall '-P 4 2'
loop_
_atom_site_label
_atom_site_fract_x
_atom_site_fract_y
_atom_site_fract_z
_atom_site_occupancy
Ta1 0.000 0.000 0.000 1
As1 0.500 0.500 0.000 1
Se1 0.000 0.500 0.500 1
Cl1 0.500 0.500 0.500 1
```

ΔE_f (raw): 1310 meV per atom
ΔE to the lowest computed polymorph: 1.313 eV/atom

---

[2]
Entry from the Alexandria database: a relaxed structure of SrCd9Au2 (PBE).

CIF file:
```
data_SrCd9Au2
_chemical_formula_sum 'Sr4 Cd36 Au8'
_cell_length_a 11.983
_cell_length_b 11.983
_cell_length_c 7.691
_cell_angle_alpha 90.00
_cell_angle_beta 90.00
_cell_angle_gamma 90.00
_space_group_name_H-M_alt 'I 41/a m d'
_space_group_IT_number 141
loop_
_space_group_symop_operation_xyz
'x,y,z'
'-x,-y,-z'
'-y+1/4,x+3/4,z+1/4'
'y+1/4,-x+3/4,-z+1/4'
'-x+1/2,-y,z+1/2'
'x+1/2,y,-z+1/2'
'y+1/4,-x+1/4,z+3/4'
'-y+1/4,x+1/4,-z+3/4'
'x,-y,-z'
'-x,y,z'
'-y+1/4,-x+1/4,-z+3/4'
'y+1/4,x+1/4,z+3/4'
'-x+1/2,y,-z+1/2'
'x+1/2,-y,z+1/2'
'y+1/4,x+3/4,-z+1/4'
'-y+1/4,-x+3/4,z+1/4'
'x+1/2,y+1/2,z+1/2'
'-x+1/2,-y+1/2,-z+1/2'
'-y+3/4,x+1/4,z+3/4'
'y+3/4,-x+1/4,-z+3/4'
'-x,-y+1/2,z'
'x,y+1/2,-z'
'y+3/4,-x+3/4,z+1/4'
'-y+3/4,x+3/4,-z+1/4'
'x+1/2,-y+1/2,-z+1/2'
'-x+1/2,y+1/2,z+1/2'
'-y+3/4,-x+3/4,-z+1/4'
'y+3/4,x+3/4,z+1/4'
'-x,y+1/2,-z'
'x,-y+1/2,z'
'y+3/4,x+1/4,-z+3/4'
'-y+3/4,-x+1/4,z+3/4'
loop_
_atom_site_label
_atom_site_fract_x
_atom_site_fract_y
_atom_site_fract_z
_atom_site_occupancy
Sr1 0.000 0.250 0.375 1
Cd1 0.000 0.250 0.875 1
Cd2 0.121 0.048 0.678 1
Au1 0.000 0.000 0.000 1
```

ΔE_f: -0.2342 eV/atom
ΔE to the lowest computed polymorph: 0.000 eV/atom

---

[3]
Entry from the Alexandria database: a relaxed structure of CrRh (PBE).

CIF file:
```
data_CrRh
_chemical_formula_sum 'Cr2 Rh2'
_cell_length_a 3.8407
_cell_length_b 3.8407
_cell_length_c 4.6155
_cell_angle_alpha 90.00
_cell_angle_beta 90.00
_cell_angle_gamma 120.00
_space_group_name_H-M_alt 'P 63/m m c'
_space_group_IT_number 194
_space_group_name_Hall '-P 6c 2c'
loop_
_atom_site_label
_atom_site_fract_x
_atom_site_fract_y
_atom_site_fract_z
_atom_site_occupancy
Cr1 0.0000 0.0000 0.0000 1
Rh1 0.3333 0.6667 0.2500 1
```

ΔE_f: 0.5147 eV/atom

---

[4]
Entry from the Alexandria database: a relaxed structure of La2YCu (PBE).

CIF file:
```
data_La2YCu
_chemical_formula_sum 'La6 Y3 Cu3'
_cell_length_a 3.7660
_cell_length_b 3.7660
_cell_length_c 30.2473
_cell_angle_alpha 90.00
_cell_angle_beta 90.00
_cell_angle_gamma 120.00
_space_group_name_H-M_alt 'R 3 m'
_space_group_IT_number 160
_space_group_name_Hall 'R 3 -2"'
loop_
_atom_site_label
_atom_site_fract_x
_atom_site_fract_y
_atom_site_fract_z
_atom_site_occupancy
La1 0.0000 0.0000 0.0000 1
La2 0.0000 0.0000 0.1946 1
Y1 0.0000 0.0000 0.4296 1
Cu1 0.0000 0.0000 0.5978 1
```

ΔE_f: 0.0607 eV/atom
ΔE to the lowest computed polymorph: 0.135 eV/atom

---

[5]
Entry from the Alexandria database: a relaxed structure of MgTi (PBE).

CIF file:
```
data_MgTi
_chemical_formula_sum 'Mg4 Ti4'
_cell_length_a 5.258
_cell_length_b 4.900
_cell_length_c 6.054
_cell_angle_alpha 90.00
_cell_angle_beta 90.00
_cell_angle_gamma 90.00
_space_group_name_H-M_alt 'P n m a'
_space_group_IT_number 62
loop_
_space_group_symop_operation_xyz
'x,y,z'
'-x,-y,-z'
'-x+1/2,-y,z+1/2'
'x+1/2,y,-z+1/2'
'x+1/2,-y+1/2,-z+1/2'
'-x+1/2,y+1/2,z+1/2'
'-x,y+1/2,-z'
'x,-y+1/2,z'
loop_
_atom_site_label
_atom_site_fract_x
_atom_site_fract_y
_atom_site_fract_z
_atom_site_occupancy
Mg1 0.086 0.250 0.126 1
Ti1 0.085 0.250 0.625 1
```

ΔE_f: 0.2492 eV/atom

---

[6]
Entry from the Alexandria database: a relaxed structure of Si2HgI (PBE).

CIF file:
```
data_Si2HgI
_chemical_formula_sum 'Si4 Hg2 I2'
_cell_length_a 4.527
_cell_length_b 7.556
_cell_length_c 8.510
_cell_angle_alpha 103.87
_cell_angle_beta 102.43
_cell_angle_gamma 105.50
_space_group_name_H-M_alt 'P 1'
_space_group_IT_number 1
loop_
_space_group_symop_operation_xyz
'x,y,z'
loop_
_atom_site_label
_atom_site_fract_x
_atom_site_fract_y
_atom_site_fract_z
_atom_site_occupancy
Si1 0.000 0.000 0.000 1
Si2 0.190 0.751 0.056 1
Si3 0.465 0.796 0.855 1
Si4 0.686 0.545 0.851 1
Hg1 0.331 0.266 0.912 1
Hg2 0.737 0.387 0.566 1
I1 0.252 0.849 0.570 1
I2 0.992 0.258 0.280 1
```

ΔE_f (raw): 149 meV per atom
ΔE to the lowest computed polymorph: 0.140 eV/atom

---

[7]
Entry from the Alexandria database: a relaxed structure of SrZrPb2 (PBE).

CIF file:
```
data_SrZrPb2
_chemical_formula_sum 'Sr1 Zr1 Pb2'
_cell_length_a 5.813
_cell_length_b 5.813
_cell_length_c 3.469
_cell_angle_alpha 90.00
_cell_angle_beta 90.00
_cell_angle_gamma 90.00
_space_group_name_H-M_alt 'P 4 m m'
_space_group_IT_number 99
loop_
_space_group_symop_operation_xyz
'x,y,z'
'-y,x,z'
'-x,-y,z'
'y,-x,z'
'-x,y,z'
'y,x,z'
'x,-y,z'
'-y,-x,z'
loop_
_atom_site_label
_atom_site_fract_x
_atom_site_fract_y
_atom_site_fract_z
_atom_site_occupancy
Sr1 0.000 0.000 0.000 1
Zr1 0.500 0.500 0.716 1
Pb1 0.000 0.500 0.452 1
```

ΔE_f: -0.1322 eV/atom

---

[8]
Entry from the Alexandria database: a relaxed structure of Hf2TaCd (PBE).

CIF file:
```
data_Hf2TaCd
_chemical_formula_sum 'Hf8 Ta4 Cd4'
_cell_length_a 4.160
_cell_length_b 4.160
_cell_length_c 20.425
_cell_angle_alpha 90.00
_cell_angle_beta 90.00
_cell_angle_gamma 90.00
_space_group_name_H-M_alt 'I -4 2 d'
_space_group_IT_number 122
_space_group_name_Hall 'I -4 2bw'
loop_
_atom_site_label
_atom_site_fract_x
_atom_site_fract_y
_atom_site_fract_z
_atom_site_occupancy
Hf1 0.241 0.250 0.125 1
Ta1 0.000 0.000 0.000 1
Cd1 0.000 0.000 0.500 1
```

ΔE_f: 0.6853 eV/atom

---

Copy entry 7 word for word.
Entry from the Alexandria database: a relaxed structure of SrZrPb2 (PBE).

CIF file:
```
data_SrZrPb2
_chemical_formula_sum 'Sr1 Zr1 Pb2'
_cell_length_a 5.813
_cell_length_b 5.813
_cell_length_c 3.469
_cell_angle_alpha 90.00
_cell_angle_beta 90.00
_cell_angle_gamma 90.00
_space_group_name_H-M_alt 'P 4 m m'
_space_group_IT_number 99
loop_
_space_group_symop_operation_xyz
'x,y,z'
'-y,x,z'
'-x,-y,z'
'y,-x,z'
'-x,y,z'
'y,x,z'
'x,-y,z'
'-y,-x,z'
loop_
_atom_site_label
_atom_site_fract_x
_atom_site_fract_y
_atom_site_fract_z
_atom_site_occupancy
Sr1 0.000 0.000 0.000 1
Zr1 0.500 0.500 0.716 1
Pb1 0.000 0.500 0.452 1
```

ΔE_f: -0.1322 eV/atom

---

Question: Which formula does entry 6 have?
Answer: Si2HgI

---

What did the sixth record say?
Entry from the Alexandria database: a relaxed structure of Si2HgI (PBE).

CIF file:
```
data_Si2HgI
_chemical_formula_sum 'Si4 Hg2 I2'
_cell_length_a 4.527
_cell_length_b 7.556
_cell_length_c 8.510
_cell_angle_alpha 103.87
_cell_angle_beta 102.43
_cell_angle_gamma 105.50
_space_group_name_H-M_alt 'P 1'
_space_group_IT_number 1
loop_
_space_group_symop_operation_xyz
'x,y,z'
loop_
_atom_site_label
_atom_site_fract_x
_atom_site_fract_y
_atom_site_fract_z
_atom_site_occupancy
Si1 0.000 0.000 0.000 1
Si2 0.190 0.751 0.056 1
Si3 0.465 0.796 0.855 1
Si4 0.686 0.545 0.851 1
Hg1 0.331 0.266 0.912 1
Hg2 0.737 0.387 0.566 1
I1 0.252 0.849 0.570 1
I2 0.992 0.258 0.280 1
```

ΔE_f (raw): 149 meV per atom
ΔE to the lowest computed polymorph: 0.140 eV/atom